[1]
DFT (PBE) results for a relaxed SbH2I crystal.

Summary:
- electronic total energy (Ry/atom) = -0.2258

Lattice parameters (Å, degrees): 4.2327 5.9881 9.2220 96.43 98.12 90.12
Last column: nearest neighbours and their distance in Å.
Element x y z (fractional)
Sb  0.3845  0.3201  0.9160  2 Sb 2.91, 2 I 2.92-3.18
Sb  0.9523  0.3227  0.1349  1 H 1.74
H  0.9550  0.6144  0.1470  1 Sb 1.74
H  0.0387  0.4488  0.5462  1 H 0.75
H  0.0414  0.3224  0.5357  1 H 0.75
H  0.4588  0.8445  0.5805  1 I 1.66
I  0.3467  0.8308  0.8521  1 H 2.62, 1 Sb 2.92
I  0.5791  0.8676  0.4196  1 H 1.66

=====

[2]
DFT (PBE) results for a relaxed AlCoGe crystal.

Summary:
- electronic total energy (Ry/atom) = -0.4021

Lattice parameters (Å, degrees): 3.9854 5.6360 7.8195 90.00 90.00 90.00
Last column: nearest neighbours and their distance in Å.
Element x y z (fractional)
Al  0.7500  0.7294  0.6269  4 Co 2.43-2.48
Al  0.7500  0.7706  0.1269  4 Co 2.43-2.48
Al  0.2500  0.2706  0.3731  4 Co 2.43-2.48
Al  0.2500  0.2294  0.8731  4 Co 2.43-2.48
Ge  0.7500  0.2468  0.6367  4 Co 2.38-2.47
Ge  0.7500  0.2532  0.1367  4 Co 2.38-2.47
Ge  0.2500  0.7532  0.3633  4 Co 2.38-2.47
Ge  0.2500  0.7468  0.8633  4 Co 2.38-2.47
Co  0.7500  0.4906  0.8849  4 Ge 2.38-2.47, 4 Al 2.43-2.48
Co  0.7500  0.0094  0.3849  4 Ge 2.38-2.47, 4 Al 2.43-2.48
Co  0.2500  0.5094  0.1151  4 Ge 2.38-2.47, 4 Al 2.43-2.48
Co  0.2500  0.9906  0.6151  4 Ge 2.38-2.47, 4 Al 2.43-2.48

=====

[3]
DFT (PBE) results for a relaxed PmHo4Th5 crystal.

Summary:
- electronic total energy (Ry/atom) = -0.4268

Lattice parameters (Å, degrees): 3.5297 8.3824 11.3215 87.87 98.97 90.00
Last column: nearest neighbours and their distance in Å.
Element x y z (fractional)
Ho  0.6791  0.9894  0.3583  3 Th 3.27-3.55, 6 Ho 3.41-3.64
Ho  0.0925  0.2577  0.1850  4 Th 3.30-3.52, 4 Ho 3.41-3.53, 2 Pm 3.52
Ho  0.9075  0.7423  0.8149  4 Th 3.30-3.52, 4 Ho 3.41-3.53, 2 Pm 3.52
Ho  0.3209  0.0106  0.6417  3 Th 3.27-3.55, 6 Ho 3.41-3.64
Pm  0.5000  0.0000  0.0000  4 Ho 3.52, 2 Pm 3.53
Th  0.2359  0.3367  0.4718  2 Ho 3.27-3.30, 4 Th 3.34-3.53
Th  0.8853  0.3283  0.7705  7 Th 3.47-3.83, 3 Ho 3.52-3.55
Th  0.1147  0.6717  0.2295  7 Th 3.47-3.83, 3 Ho 3.52-3.55
Th  0.7641  0.6633  0.5282  2 Ho 3.27-3.30, 4 Th 3.34-3.53
Th  0.5000  0.5000  0.0000  4 Ho 3.35, 6 Th 3.47-3.53

=====

[4]
DFT (PBE) results for a relaxed ScSeN2O crystal.

Summary:
- formation energy without anion corrections (eV/f.u.) = 6.3
- electronic total energy (Ry/atom) = -0.3693

Lattice parameters (Å, degrees): 4.0457 4.0457 5.5996 90.00 90.00 90.00
Last column: nearest neighbours and their distance in Å.
Element x y z (fractional)
O  0.5000  0.5000  0.5000  4 Se 2.86
Se  0.0000  0.0000  0.5000  2 Sc 2.80, 4 O 2.86
N  0.5000  0.0000  0.0000  2 Sc 2.02
N  0.0000  0.5000  0.0000  2 Sc 2.02
Sc  0.0000  0.0000  0.0000  4 N 2.02

=====

[5]
DFT (PBE) results for a relaxed Pr2Ho2In7 crystal.

Summary:
- electronic total energy (Ry/atom) = -0.2530

Lattice parameters (Å, degrees): 7.7274 6.0793 7.7274 90.00 96.13 90.00
Last column: nearest neighbours and their distance in Å.
Element x y z (fractional)
In  0.4998  0.2619  0.5002  2 In 2.89-3.18, 2 Ho 3.11
In  0.0000  0.0000  0.0000  2 Ho 3.08
In  0.5003  0.7389  0.9998  2 In 2.90-3.17, 2 Ho 3.04
In  0.0002  0.7389  0.4997  2 In 2.90-3.17, 2 Ho 3.04
In  0.9998  0.2611  0.5003  2 In 2.90-3.17, 2 Ho 3.04
In  0.4997  0.2611  0.0002  2 In 2.90-3.17, 2 Ho 3.04
In  0.5002  0.7381  0.4998  2 In 2.89-3.18, 2 Ho 3.11
Pr  0.8030  0.5000  0.8030  6 In 3.26-3.45
Pr  0.1970  0.5000  0.1970  6 In 3.26-3.45
Ho  0.7322  0.0000  0.2678  7 In 3.04-3.11
Ho  0.2678  0.0000  0.7322  7 In 3.04-3.11

=====

[6]
DFT (PBE) results for a relaxed AlIn2Br6 crystal.

Summary:
- formation energy without anion corrections (eV/f.u.) = -7.6
- electronic total energy (Ry/atom) = -0.2193

Lattice parameters (Å, degrees): 11.5194 10.1724 10.1724 74.23 58.85 58.85
Last column: nearest neighbours and their distance in Å.
Element x y z (fractional)
Br  0.2457  0.8694  0.8997  1 Al 2.32
Br  0.7361  0.3787  0.3719  3 In 2.89-3.11
Br  0.2361  0.3719  0.3787  3 In 2.89-3.11
Br  0.2543  0.1003  0.1306  1 Al 2.32
Br  0.0258  0.8733  0.3299  1 Al 2.35
Br  0.2639  0.6213  0.6281  3 In 2.89-3.11
Br  0.7457  0.8997  0.8694  1 Al 2.32
Br  0.7639  0.6281  0.6213  3 In 2.89-3.11
Br  0.7543  0.1306  0.1003  1 Al 2.32
Br  0.4742  0.6701  0.1267  1 Al 2.35
Br  0.9742  0.1267  0.6701  1 Al 2.35
Br  0.5258  0.3299  0.8733  1 Al 2.35
Al  0.7500  0.1235  0.8765  4 Br 2.32-2.35
Al  0.2500  0.8765  0.1235  4 Br 2.32-2.35
In  0.9856  0.3488  0.4000  5 Br 2.89-3.22
In  0.4856  0.4000  0.3488  5 Br 2.89-3.22
In  0.0144  0.6512  0.6000  5 Br 2.89-3.22
In  0.5144  0.6000  0.6512  5 Br 2.89-3.22

=====

[7]
DFT (PBE) results for a relaxed LaBiTe2N crystal.

Summary:
- formation energy without anion corrections (eV/f.u.) = 0.7
- electronic total energy (Ry/atom) = -0.3340

Lattice parameters (Å, degrees): 5.9315 5.9315 4.3315 90.00 90.00 90.00
Last column: nearest neighbours and their distance in Å.
Element x y z (fractional)
N  0.0000  0.0000  0.5000  2 Bi 2.17
Te  0.5000  0.0000  0.0000  2 Bi 2.97
Te  0.0000  0.5000  0.0000  2 Bi 2.97
Bi  0.0000  0.0000  0.0000  2 N 2.17
La  0.5000  0.5000  0.5000  8 Te 3.67

=====

[8]
DFT (PBE) results for a relaxed NdDy7Er3 crystal.

Summary:
- electronic total energy (Ry/atom) = -0.3280

Lattice parameters (Å, degrees): 8.8681 9.8442 5.5298 90.00 128.55 105.23
Last column: nearest neighbours and their distance in Å.
Element x y z (fractional)
Er  0.0000  0.5000  0.0000  2 Nd 3.47, 10 Dy 3.48-3.81
Er  0.2233  0.0036  0.7234  1 Er 3.07, 4 Dy 3.30-3.37
Er  0.7767  0.9964  0.2766  1 Er 3.07, 4 Dy 3.30-3.37
Dy  0.6478  0.2901  0.1477  3 Dy 3.27-3.56, 2 Er 3.30-3.32
Dy  0.9248  0.8320  0.9249  3 Dy 3.12-3.27, 1 Er 3.48
Dy  0.1743  0.3568  0.6743  5 Dy 3.27-3.56, 3 Er 3.50-3.60, 2 Nd 3.55
Dy  0.8257  0.6432  0.3257  5 Dy 3.27-3.56, 3 Er 3.50-3.60, 2 Nd 3.55
Dy  0.0752  0.1680  0.0751  3 Dy 3.12-3.27, 1 Er 3.48
Dy  0.5000  0.0000  0.5000  4 Er 3.37, 2 Dy 3.77
Dy  0.3522  0.7099  0.8523  3 Dy 3.27-3.56, 2 Er 3.30-3.32
Nd  0.5000  0.5000  0.5000  2 Er 3.47, 10 Dy 3.55-3.79